VReW4 PBE optimized geometry; spin magnetization = 0.00 Bohr magnetons per cell; total DFT energy (no corrections) = -10.465 eV per atom; energy of formation = 10.59 eV per formula unit; energy above the lowest structure with this stoichiometry = 1833 meV/atom
1.0
3.504 -3.648 0.000
3.504 3.648 0.000
0.000 0.000 4.607
V Re W
1 1 4
Direct
0.000 0.000 0.000
0.500 0.500 0.500
0.167 0.833 0.500
0.324 0.324 0.000
0.676 0.676 0.000
0.833 0.167 0.500

VReW3 PBE optimized geometry; spin magnetization = 0.00 Bohr magnetons per cell; total DFT energy (no corrections) = -12.147 eV per atom; energy of formation = -0.31 eV per formula unit; energy above the lowest structure with this stoichiometry = 0 meV/atom
1.0
2.217 -7.846 0.000
2.217 7.846 0.000
0.000 0.000 4.421
V Re W
2 2 6
Direct
0.249 0.751 0.750
0.751 0.249 0.250
0.447 0.553 0.750
0.553 0.447 0.250
0.051 0.949 0.750
0.153 0.847 0.250
0.347 0.653 0.250
0.653 0.347 0.750
0.847 0.153 0.750
0.949 0.051 0.250

V3Re2W3 PBE optimized geometry; spin magnetization = 0.00 Bohr magnetons per cell; total DFT energy (no corrections) = -11.289 eV per atom; energy of formation = 0.80 eV per formula unit
1.0
2.639 0.000 0.000
0.000 17.981 0.000
-0.063 0.000 5.115
V Re W
6 4 6
Direct
0.037 0.250 0.253
0.361 0.127 0.496
0.361 0.373 0.496
0.639 0.627 0.504
0.639 0.873 0.504
0.963 0.750 0.747
0.384 0.627 0.997
0.384 0.873 0.997
0.616 0.127 0.003
0.616 0.373 0.003
0.049 0.750 0.256
0.149 0.000 0.254
0.149 0.500 0.254
0.851 0.000 0.746
0.851 0.500 0.746
0.951 0.250 0.744

VReW2 PBE optimized geometry; spin magnetization = 0.00 Bohr magnetons per cell; total DFT energy (no corrections) = -12.005 eV per atom; energy of formation = -0.55 eV per formula unit; energy above the lowest structure with this stoichiometry = 0 meV/atom
1.0
0.000 3.120 3.120
3.120 0.000 3.120
3.120 3.120 0.000
V Re W
1 1 2
Direct
0.000 0.000 0.000
0.500 0.500 0.500
0.250 0.250 0.250
0.750 0.750 0.750